The following is a PBE-GGA calculation of crystalline RbPt2Pb2 at its relaxed geometry, from Alexandria.

a = 5.017 Å, b = 5.017 Å, c = 11.672 Å
α = 90.00°, β = 90.00°, γ = 90.00°
Space group I4/mmm (No. 139)
Asymmetric unit:
Rb 0.000 0.000 0.000 [2 per cell]
Pt 0.000 0.500 0.250 [4 per cell]
Pb 0.000 0.000 0.351 [4 per cell]

---

The following is a PBE-GGA calculation of crystalline RbPtPb2 at its relaxed geometry, from Alexandria.

a = 4.5920 Å, b = 4.5920 Å, c = 22.0393 Å
α = 90.00°, β = 90.00°, γ = 120.00°
Space group R-3m (No. 166, hexagonal axes)
Asymmetric unit:
Rb 0.0000 0.0000 0.0000 [3 per cell]
Pt 0.0000 0.0000 0.5000 [3 per cell]
Pb 0.0000 0.0000 0.2147 [6 per cell]

---

The following is a PBE-GGA calculation of crystalline RbPtPb at its relaxed geometry, from Alexandria.

a = 16.402 Å, b = 3.481 Å, c = 7.810 Å
α = 90.00°, β = 118.30°, γ = 90.00°
Space group C2/m (No. 12)
Asymmetric unit:
Rb 0.138 0.000 0.137 [4 per cell]
Pt 0.000 0.500 0.308 [4 per cell]
Pb 0.119 0.000 0.618 [4 per cell]

---

The following magnetization values (in μB per formula unit) correspond, in order, to the records above: 0.00; 0.00; 0.00.
The following total DFT energy (no corrections) values (in eV/f.u.) correspond, in order, to the records above: -21.45; -15.39; -10.97.